1.
TiAl2ReTe: optimized geometry, GGA-PBE.

POSCAR file:
```
TiAl2ReTe
1.0
5.014 0.000 0.000
0.000 5.014 0.000
0.000 0.000 4.553
Ti Al Re Te
1 2 1 1
Direct
0.000 0.000 0.000 Ti
0.000 0.500 0.000 Al
0.500 0.000 0.000 Al
0.000 0.000 0.500 Re
0.500 0.500 0.500 Te
```

Calculated values
E_form (uncorrected): 1.0563 eV per atom

=====

2.
YAl2ReTe: optimized geometry, GGA-PBE.

POSCAR file:
```
YAl2ReTe
1.0
5.618 0.000 0.000
0.000 5.618 0.000
0.000 0.000 5.595
Y Al Re Te
1 2 1 1
Direct
0.000 0.000 0.000 Y
0.000 0.500 0.000 Al
0.500 0.000 0.000 Al
0.500 0.500 0.500 Re
0.000 0.000 0.500 Te
```

Calculated values
E_form (uncorrected): 1.6990 eV per atom

=====

3.
Al2ZnReTe: optimized geometry, GGA-PBE.

POSCAR file:
```
Al2ZnReTe
1.0
5.259 0.000 0.000
0.000 5.259 0.000
0.000 0.000 4.987
Al Zn Re Te
2 1 1 1
Direct
0.000 0.500 0.000 Al
0.500 0.000 0.000 Al
0.000 0.000 0.500 Zn
0.500 0.500 0.500 Re
0.000 0.000 0.000 Te
```

Calculated values
E_form (uncorrected): 1.7914 eV per atom